Computed, not measured: a relaxed structure of AlMo at the PBE level of DFT.

Results
- Energy relative to the elements: 1.0 eV/f.u.
- Magnetization: 0.00 μB/cell
- Volume: 16.564 Å³/atom

CIF file:
```
data_AlMo
_chemical_formula_sum 'Al4 Mo4'
_symmetry_space_group_name_H-M 'P 42/m n m'
_symmetry_Int_Tables_number 136
_symmetry_space_group_name_Hall '-P 4n 2n'
_cell_length_a 5.1229
_cell_length_b 5.1229
_cell_length_c 5.0492
_cell_angle_alpha 90.00
_cell_angle_beta 90.00
_cell_angle_gamma 90.00
loop_
_atom_site_label
_atom_site_fract_x
_atom_site_fract_y
_atom_site_fract_z
_atom_site_occupancy
Al1 0.2004 0.2004 0.0000 1
Mo1 0.2037 0.2037 0.5000 1
```

=====

Computed, not measured: a relaxed structure of Al7Mo at the PBE level of DFT.

Results
- Energy relative to the elements: -0.5 eV/f.u.
- Magnetization: 0.00 μB/cell
- Volume: 15.793 Å³/atom

CIF file:
```
data_Al7Mo
_chemical_formula_sum 'Al28 Mo4'
_symmetry_space_group_name_H-M 'F m -3 m'
_symmetry_Int_Tables_number 225
_symmetry_space_group_name_Hall '-F 4 2 3'
_cell_length_a 7.9654
_cell_length_b 7.9654
_cell_length_c 7.9654
_cell_angle_alpha 90.00
_cell_angle_beta 90.00
_cell_angle_gamma 90.00
loop_
_atom_site_label
_atom_site_fract_x
_atom_site_fract_y
_atom_site_fract_z
_atom_site_occupancy
Al1 0.0000 0.0000 0.0000 1
Al2 0.0000 0.2500 0.2500 1
Mo1 0.0000 0.0000 0.5000 1
```

=====

Computed, not measured: a relaxed structure of AlMo5 at the PBE level of DFT.

Results
- E above lowest polymorph: 272 meV/atom
- Energy relative to the elements: 1.1 eV/f.u.
- Magnetization: 0.00 μB/cell
- Volume: 16.493 Å³/atom

CIF file:
```
data_AlMo5
_chemical_formula_sum 'Al4 Mo20'
_symmetry_space_group_name_H-M 'F -4 3 m'
_symmetry_Int_Tables_number 216
_symmetry_space_group_name_Hall 'F -4 2 3'
_cell_length_a 7.3424
_cell_length_b 7.3424
_cell_length_c 7.3424
_cell_angle_alpha 90.00
_cell_angle_beta 90.00
_cell_angle_gamma 90.00
loop_
_atom_site_label
_atom_site_fract_x
_atom_site_fract_y
_atom_site_fract_z
_atom_site_occupancy
Al1 0.0000 0.0000 0.0000 1
Mo1 0.1250 0.1250 0.3750 1
Mo2 0.2500 0.2500 0.7500 1
```

=====

Computed, not measured: a relaxed structure of AlMo at the PBE level of DFT.

Results
- Energy relative to the elements: 0.0 eV/f.u.
- Magnetization: 0.00 μB/cell
- Volume: 15.720 Å³/atom

CIF file:
```
data_AlMo
_chemical_formula_sum 'Al4 Mo4'
_symmetry_space_group_name_H-M 'P 21 3'
_symmetry_Int_Tables_number 198
_symmetry_space_group_name_Hall 'P 2ac 2ab 3'
_cell_length_a 5.0102
_cell_length_b 5.0102
_cell_length_c 5.0102
_cell_angle_alpha 90.00
_cell_angle_beta 90.00
_cell_angle_gamma 90.00
loop_
_atom_site_label
_atom_site_fract_x
_atom_site_fract_y
_atom_site_fract_z
_atom_site_occupancy
Al1 0.0996 0.4004 0.5996 1
Mo1 0.1077 0.8923 0.3923 1
```